Below is crystalline CaTcGe3 at its relaxed geometry, with properties calculated at the PBE level.

Lattice parameters (Å, degrees): 5.050 5.050 5.050 90.00 90.00 90.00
Element x y z (fractional)
Ca  0.000  0.000  0.000
Tc  0.500  0.500  0.500
Ge  0.000  0.000  0.500
Ge  0.000  0.500  0.000
Ge  0.500  0.000  0.000

Results
- electronic total energy (eV per atom) = -3.38
- space group = No. 221
- excess energy over the best structure of this formula in the dataset (meV per atom) = 2168
- calculated formation energy (eV/atom) = 1.868